[1]
The following is a PBE-GGA calculation of crystalline SmSi2OsRh at its relaxed geometry, from the Alexandria database.

Properties
Its space group is I-4m2.

Geometry as extended XYZ:
```
10
Lattice="4.158 0.000 0.000 0.000 4.158 0.000 0.000 0.000 9.888" Properties=species:S:1:pos:R:3 pbc="T T T"
Sm 0.000 0.000 0.000
Sm 2.079 2.079 4.944
Si 0.000 0.000 3.677
Si 0.000 0.000 6.211
Si 2.079 2.079 1.267
Si 2.079 2.079 8.621
Os 0.000 2.079 2.472
Os 2.079 0.000 7.416
Rh 0.000 2.079 7.416
Rh 2.079 0.000 2.472
```



[2]
The following is a PBE-GGA calculation of crystalline Ta2SiOsRh at its relaxed geometry, from the Alexandria database.

Properties
Its space group is P4/mmm.

Geometry as extended XYZ:
```
5
Lattice="4.573 0.000 0.000 0.000 4.573 0.000 0.000 0.000 4.251" Properties=species:S:1:pos:R:3 pbc="T T T"
Ta 0.000 2.286 0.000
Ta 2.286 0.000 0.000
Si 0.000 0.000 0.000
Os 2.286 2.286 2.125
Rh 0.000 0.000 2.125
```



| no. | ΔE_f (raw) (eV/atom) | total moment (μB/f.u.) |
| --- | --- | --- |
| 1 | -0.932 | 0.000 |
| 2 | 0.800 | 0.000 |